1.
GaMo4: optimized geometry, GGA-PBE.

DOS(E_F): 1.20 states/eV/atom
energy: -38.2 eV per cell
total magnetic moment: 0.0 μB per formula unit
formation energy from the elements: 1622 meV/atom
crystal system: cubic

Cell: 4.533 4.533 4.533 Å, 90.00 90.00 90.00°
Space group Pm-3m (No. 221)
Unique sites:
Ga  0.000  0.000  0.000
Mo  0.000  0.000  0.500
Mo  0.500  0.500  0.500

2.
Ca2YRe: optimized geometry, GGA-PBE.

DOS(E_F): 1.05 states/eV/atom
energy: -20.2 eV per cell
total magnetic moment: 0.0 μB per formula unit
formation energy from the elements: 688 meV/atom
crystal system: orthorhombic

Cell: 3.120 5.000 6.483 Å, 90.00 90.00 90.00°
Space group Pmmm (No. 47)
Unique sites:
Ca  0.000  0.000  0.222
Y  0.500  0.500  0.500
Re  0.500  0.500  0.000

3.
Na2BiTe3: optimized geometry, GGA-PBE.

DOS(E_F): 0.55 states/eV/atom
energy: -37.8 eV per cell
total magnetic moment: 0.0 μB per formula unit
formation energy without anion corrections: -0.490 eV/atom
crystal system: orthorhombic

Cell: 4.038 6.364 15.231 Å, 90.00 90.00 90.00°
Space group Immm (No. 71)
Unique sites:
Na  0.000  0.000  0.168
Bi  0.000  0.000  0.500
Te  0.000  0.500  0.156
Te  0.000  0.500  0.500

4.
YNbTc2Ir: optimized geometry, GGA-PBE.

DOS(E_F): 1.17 states/eV/atom
energy: -40.0 eV per cell
total magnetic moment: 1.4 μB per formula unit
formation energy from the elements: 1221 meV/atom
crystal system: tetragonal

Cell: 4.741 4.741 5.085 Å, 90.00 90.00 90.00°
Space group P4/mmm (No. 123)
Unique sites:
Y  0.000  0.000  0.000
Nb  0.500  0.500  0.000
Tc  0.000  0.500  0.500
Ir  0.000  0.000  0.500

5.
Nd2Y2Er5: optimized geometry, GGA-PBE.

DOS(E_F): 1.79 states/eV/atom
energy: -87.8 eV per cell
total magnetic moment: 0.0 μB per formula unit
formation energy from the elements: 151 meV/atom
crystal system: monoclinic

Cell: 17.598 3.484 9.741 Å, 90.00 98.85 90.00°
Space group C2/m (No. 12)
Unique sites:
Nd  0.008  0.000  0.189
Y  0.163  0.500  0.728
Er  0.000  0.500  0.500
Er  0.173  0.000  0.043
Er  0.178  0.500  0.371

6.
Th2PaSn: optimized geometry, GGA-PBE.

DOS(E_F): 1.86 states/eV/atom
energy: -28.8 eV per cell
total magnetic moment: 0.0 μB per formula unit
formation energy from the elements: -110 meV/atom
crystal system: tetragonal

Cell: 4.064 4.064 6.975 Å, 90.00 90.00 90.00°
Space group P4/mmm (No. 123)
Unique sites:
Th  0.000  0.000  0.247
Pa  0.500  0.500  0.500
Sn  0.500  0.500  0.000

7.
La2ThAs3Rh12: optimized geometry, GGA-PBE.

DOS(E_F): 0.90 states/eV/atom
energy: -377.7 eV per cell
total magnetic moment: 0.0 μB per formula unit
formation energy from the elements: -359 meV/atom
crystal system: trigonal

Cell: 9.1613 9.1613 13.2016 Å, 90.00 90.00 120.00°
Space group R-3m (No. 166, hexagonal axes)
Unique sites:
La  0.0000  0.0000  0.1359
Th  0.0000  0.0000  0.5000
As  0.0000  0.5000  0.0000
Rh  0.0092  0.5046  0.8176
Rh  0.0201  0.5100  0.3833

8.
TlZn4Ga: optimized geometry, GGA-PBE.

DOS(E_F): 0.35 states/eV/atom
energy: -39.5 eV per cell
total magnetic moment: 0.0 μB per formula unit
formation energy from the elements: 102 meV/atom
crystal system: cubic

Cell: 7.641 7.641 7.641 Å, 90.00 90.00 90.00°
Space group F-43m (No. 216)
Unique sites:
Tl  0.000  0.000  0.000
Zn  0.124  0.124  0.376
Ga  0.250  0.250  0.750

9.
YAs2Ru: optimized geometry, GGA-PBE.

DOS(E_F): 0.74 states/eV/atom
energy: -26.4 eV per cell
total magnetic moment: 0.0 μB per formula unit
formation energy from the elements: -333 meV/atom
crystal system: tetragonal

Cell: 3.157 3.157 8.487 Å, 90.00 90.00 90.00°
Space group P4mm (No. 99)
Unique sites:
Y  0.000  0.000  0.000
As  0.000  0.000  0.609
As  0.500  0.500  0.245
Ru  0.500  0.500  0.751

10.
Mg2ScBr: optimized geometry, GGA-PBE.

DOS(E_F): 0.71 states/eV/atom
energy: -12.0 eV per cell
total magnetic moment: 0.1 μB per formula unit
formation energy without anion corrections: -0.203 eV/atom
crystal system: orthorhombic

Cell: 3.287 5.022 5.813 Å, 90.00 90.00 90.00°
Space group Pmmm (No. 47)
Unique sites:
Mg  0.000  0.000  0.000
Mg  0.500  0.500  0.000
Sc  0.000  0.500  0.500
Br  0.500  0.000  0.500

11.
RbBaSn: optimized geometry, GGA-PBE.

DOS(E_F): 1.12 states/eV/atom
energy: -65.5 eV per cell
total magnetic moment: 0.3 μB per formula unit
formation energy from the elements: -130 meV/atom
crystal system: trigonal

Cell: 8.2079 8.2079 25.5475 Å, 90.00 90.00 120.00°
Space group R3 (No. 146, hexagonal axes)
Unique sites:
Rb  0.0517  0.3344  0.0000
Ba  0.0762  0.7375  0.4986
Sn  0.0000  0.0000  0.1098
Sn  0.0000  0.0000  0.2215
Sn  0.0000  0.0000  0.7379

12.
LiPmBe: optimized geometry, GGA-PBE.

DOS(E_F): 0.79 states/eV/atom
energy: -19.7 eV per cell
total magnetic moment: 0.5 μB per formula unit
formation energy from the elements: 173 meV/atom
crystal system: trigonal

Cell: 4.0866 4.0866 9.2913 Å, 90.00 90.00 120.00°
Space group P-3m1 (No. 164)
Unique sites:
Li  0.3333  0.6667  0.0640
Pm  0.0000  0.0000  0.3110
Be  0.3333  0.6667  0.4909

13.
OsPb2Br: optimized geometry, GGA-PBE.

DOS(E_F): 0.44 states/eV/atom
energy: -37.2 eV per cell
total magnetic moment: 0.0 μB per formula unit
formation energy without anion corrections: 0.434 eV/atom
crystal system: monoclinic

Cell: 7.654 3.578 8.929 Å, 90.00 114.38 90.00°
Space group C2/m (No. 12)
Unique sites:
Os  0.000  0.000  0.000
Pb  0.111  0.500  0.814
Br  0.000  0.000  0.500

14.
Li2AsRu: optimized geometry, GGA-PBE.

DOS(E_F): 0.70 states/eV/atom
energy: -37.7 eV per cell
total magnetic moment: 0.0 μB per formula unit
formation energy from the elements: -280 meV/atom
crystal system: monoclinic

Cell: 8.642 3.122 4.587 Å, 90.00 111.10 90.00°
Space group Cm (No. 8)
Unique sites:
Li  0.000  0.000  0.000
Li  0.239  0.000  0.847
As  0.490  0.000  0.443
Ru  0.269  0.500  0.389

15.
NaPrMg2Au4: optimized geometry, GGA-PBE.

DOS(E_F): 0.49 states/eV/atom
energy: -80.7 eV per cell
total magnetic moment: 0.0 μB per formula unit
formation energy from the elements: -562 meV/atom
crystal system: trigonal

Cell: 4.7497 4.7497 26.5805 Å, 90.00 90.00 120.00°
Space group R-3m (No. 166, hexagonal axes)
Unique sites:
Na  0.0000  0.0000  0.0000
Pr  0.0000  0.0000  0.5000
Mg  0.0000  0.0000  0.2599
Au  0.0000  0.0000  0.1077
Au  0.0000  0.0000  0.3821

16.
Zr2NpGe: optimized geometry, GGA-PBE.

DOS(E_F): 1.60 states/eV/atom
energy: -103.5 eV per cell
total magnetic moment: 4.0 μB per formula unit
formation energy from the elements: 37 meV/atom
crystal system: trigonal

Cell: 3.2756 3.2756 28.2702 Å, 90.00 90.00 120.00°
Space group R-3m (No. 166, hexagonal axes)
Unique sites:
Zr  0.0000  0.0000  0.2430
Np  0.0000  0.0000  0.0000
Ge  0.0000  0.0000  0.5000

17.
MgPb2S: optimized geometry, GGA-PBE.

DOS(E_F): 0.21 states/eV/atom
energy: -50.8 eV per cell
total magnetic moment: 0.0 μB per formula unit
formation energy without anion corrections: 0.110 eV/atom
crystal system: tetragonal

Cell: 6.890 6.890 11.940 Å, 90.00 90.00 90.00°
Space group I-42d (No. 122)
Unique sites:
Mg  0.000  0.000  0.000
Pb  0.229  0.250  0.625
S  0.000  0.000  0.500

18.
K5RhO4: optimized geometry, GGA-PBE.

DOS(E_F): 0.35 states/eV/atom
energy: -86.2 eV per cell
total magnetic moment: 2.0 μB per formula unit
formation energy without anion corrections: -1.043 eV/atom
crystal system: orthorhombic

Cell: 8.936 9.172 4.613 Å, 90.00 90.00 90.00°
Space group Pmmn (No. 59, origin choice 2)
Unique sites:
K  0.073  0.067  0.241
K  0.250  0.750  0.523
Rh  0.250  0.250  0.735
O  0.031  0.250  0.727
O  0.250  0.022  0.731

19.
TcPO6: optimized geometry, GGA-PBE.

DOS(E_F): 0.61 states/eV/atom
energy: -109.1 eV per cell
total magnetic moment: 0.0 μB per formula unit
formation energy without anion corrections: -1.126 eV/atom
crystal system: monoclinic

Cell: 4.514 9.552 4.550 Å, 90.00 103.78 90.00°
Space group C2/m (No. 12)
Unique sites:
Tc  0.000  0.000  0.000
P  0.000  0.500  0.500
O  0.214  0.377  0.728
O  0.248  0.500  0.272

20.
ReTe2Au: optimized geometry, GGA-PBE.

DOS(E_F): 0.24 states/eV/atom
energy: -41.8 eV per cell
total magnetic moment: 0.0 μB per formula unit
formation energy without anion corrections: 0.271 eV/atom
crystal system: monoclinic

Cell: 7.579 3.364 8.580 Å, 90.00 107.47 90.00°
Space group C2/m (No. 12)
Unique sites:
Re  0.000  0.000  0.000
Te  0.142  0.500  0.821
Au  0.000  0.500  0.500

21.
ThBe2Ir2C: optimized geometry, GGA-PBE.

DOS(E_F): 0.35 states/eV/atom
energy: -88.4 eV per cell
total magnetic moment: 0.0 μB per formula unit
formation energy from the elements: -394 meV/atom
crystal system: tetragonal

Cell: 3.801 3.801 11.921 Å, 90.00 90.00 90.00°
Space group I4/mmm (No. 139)
Unique sites:
Th  0.000  0.000  0.000
Be  0.000  0.000  0.360
Ir  0.000  0.500  0.250
C  0.000  0.000  0.500

22.
Ti3PtN: optimized geometry, GGA-PBE.

DOS(E_F): 0.55 states/eV/atom
energy: -174.3 eV per cell
total magnetic moment: 0.0 μB per formula unit
formation energy without anion corrections: -1.105 eV/atom
crystal system: monoclinic

Cell: 7.355 5.311 7.898 Å, 90.00 113.95 90.00°
Space group P2_1/c (No. 14)
Unique sites:
Ti  0.051  0.085  0.348
Ti  0.190  0.570  0.539
Ti  0.363  0.138  0.772
Pt  0.387  0.679  0.890
N  0.076  0.246  0.601

23.
Na2HfInS4: optimized geometry, GGA-PBE.

DOS(E_F): 0.33 states/eV/atom
energy: -41.2 eV per cell
total magnetic moment: 0.0 μB per formula unit
formation energy without anion corrections: -1.168 eV/atom
crystal system: monoclinic

Cell: 6.897 3.786 6.933 Å, 90.00 108.43 90.00°
Space group P2/m (No. 10)
Unique sites:
Na  0.000  0.000  0.000
Na  0.500  0.500  0.000
Hf  0.000  0.500  0.500
In  0.500  0.000  0.500
S  0.226  0.000  0.718
S  0.238  0.500  0.283

24.
Rb2Te2As: optimized geometry, GGA-PBE.

DOS(E_F): 1.41 states/eV/atom
energy: -29.9 eV per cell
total magnetic moment: 0.0 μB per formula unit
formation energy without anion corrections: -0.414 eV/atom
crystal system: tetragonal

Cell: 8.081 8.081 5.611 Å, 90.00 90.00 90.00°
Space group P4/mbm (No. 127)
Unique sites:
Rb  0.155  0.345  0.000
Te  0.163  0.663  0.500
As  0.000  0.000  0.500